(1)
CrGa2W: relaxed, PBE.

## Properties
For the formation energy, the calculation gives 0.40 eV/atom. Its crystal system is cubic. The distance to the lowest polymorph of the same formula comes out at 0.000 eV/atom.

a b c (Å): 4.330 4.330 4.330
angles (deg): 60.00 60.00 60.00
Fractional positions:
Cr (0.000, 0.000, 0.000)
Ga (0.250, 0.250, 0.250)
Ga (0.750, 0.750, 0.750)
W (0.500, 0.500, 0.500)



(2)
Ba2MoIr: relaxed, PBE.

## Properties
For the formation energy, the calculation gives 0.34 eV/atom. Its crystal system is orthorhombic. The distance to the lowest polymorph of the same formula comes out at 0.000 eV/atom.

a b c (Å): 4.087 6.689 6.689
angles (deg): 46.37 90.00 90.00
Fractional positions:
Ba (0.000, 0.000, 0.000)
Ba (0.500, 0.282, 0.282)
Mo (0.500, 0.592, 0.592)
Ir (0.000, 0.693, 0.693)



(3)
Ca2MgCr: relaxed, PBE.

## Properties
For the formation energy, the calculation gives 0.32 eV/atom. Its crystal system is orthorhombic.

a b c (Å): 6.373 6.373 6.373
angles (deg): 144.32 128.77 63.99
Fractional positions:
Ca (0.000, 0.000, 0.000)
Ca (0.715, 0.215, 0.500)
Mg (0.444, 0.444, 0.000)
Cr (0.247, 0.747, 0.500)



(4)
LaReSb2: relaxed, PBE.

## Properties
Its crystal system is trigonal. As for the energy relative to the elements, uncorrected: 108 meV/atom. The distance to the lowest polymorph of the same formula comes out at 0.372 eV/atom.

a b c (Å): 9.626 9.626 9.626
angles (deg): 20.64 20.64 20.64
Fractional positions:
La (0.000, 0.000, 0.000)
Re (0.500, 0.500, 0.500)
Sb (0.234, 0.234, 0.234)
Sb (0.766, 0.766, 0.766)



Number 1: Fermi-level density of states 1.35 states/eV/atom. Number 2: Fermi-level density of states 1.21 states/eV/atom. Number 3: Fermi-level density of states 0.82 states/eV/atom. Number 4: Fermi-level density of states 0.81 states/eV/atom.